--- w ---
# Ce2BrCl

A geometry-optimized Ce2BrCl structure (PBE, Alexandria via LeMat-Bulk).

Cell: 3.6872 3.6872 25.4558 Å, 90.00 90.00 120.00°
With the nearest neighbours (Å) after each atom.
Space group R-3m (No. 166, hexagonal axes)
Symmetry-distinct sites (fractional):
Ce (0.0000, 0.0000, 0.2452) (multiplicity 6)  3 Cl 2.92, 3 Br 3.09
Br (0.0000, 0.0000, 0.0000) (multiplicity 3)  6 Ce 3.09
Cl (0.0000, 0.0000, 0.5000) (multiplicity 3)  6 Ce 2.92

D(E_F) in states/eV per atom: 2.514
Crystal system: trigonal
Total magnetization in μB/f.u.: 2.2


--- x ---
# Ce2BrCl

A geometry-optimized Ce2BrCl structure (PBE, Alexandria via LeMat-Bulk).

Cell: 3.6054 3.6054 26.9792 Å, 90.00 90.00 120.00°
With the nearest neighbours (Å) after each atom.
Space group R3m (No. 160, hexagonal axes)
Symmetry-distinct sites (fractional):
Ce (0.0000, 0.0000, 0.0000) (multiplicity 3)  3 Cl 3.02, 3 Br 3.16
Ce (0.0000, 0.0000, 0.1598) (multiplicity 3)  3 Cl 2.97, 3 Br 3.10
Br (0.0000, 0.0000, 0.5783) (multiplicity 3)  6 Ce 3.10-3.16
Cl (0.0000, 0.0000, 0.7477) (multiplicity 3)  6 Ce 2.97-3.02

D(E_F) in states/eV per atom: 2.694
Crystal system: trigonal
Total magnetization in μB/f.u.: 2.4


The computed energies, referenced to the most stable structure and given in kJ/mol of atoms, are w 0.0; x 2.4.


--- w ---
# CsCeBr4

A geometry-optimized CsCeBr4 structure (PBE, Alexandria via LeMat-Bulk).

Cell: 5.9171 22.5631 8.4314 Å, 90.00 90.00 90.00°
With the nearest neighbours (Å) after each atom.
Space group Cmcm (No. 63)
Symmetry-distinct sites (fractional):
Cs (0.0000, 0.1770, 0.2500) (multiplicity 4)  6 Br 3.69-3.78
Ce (0.0000, 0.4081, 0.2500) (multiplicity 4)  6 Br 2.85-2.96
Br (0.0000, 0.0885, 0.7500) (multiplicity 4)  2 Ce 2.96
Br (0.0000, 0.3188, 0.0108) (multiplicity 8)  1 Ce 2.85
Br (0.0000, 0.5000, 0.0000) (multiplicity 4)  2 Ce 2.96

D(E_F) in states/eV per atom: 1.301
Crystal system: orthorhombic
Total magnetization in μB/f.u.: 1.0


--- x ---
# CsCeBr4

A geometry-optimized CsCeBr4 structure (PBE, Alexandria via LeMat-Bulk).

Cell: 11.1892 14.4427 7.9277 Å, 90.00 134.87 90.00°
With the nearest neighbours (Å) after each atom.
Space group C2/c (No. 15)
Symmetry-distinct sites (fractional):
Cs (0.0000, 0.1247, 0.2500) (multiplicity 4)  8 Br 3.53-3.54
Ce (0.0000, 0.3750, 0.7500) (multiplicity 4)  8 Br 3.14-3.16
Br (0.2087, 0.4995, 0.2099) (multiplicity 8)  2 Ce 3.14-3.16, 1 Br 3.31
Br (0.2485, 0.2501, 0.7897) (multiplicity 8)  2 Ce 3.14-3.16, 1 Br 3.31

D(E_F) in states/eV per atom: 1.392
Crystal system: monoclinic
Total magnetization in μB/f.u.: 1.0


The computed energies, referenced to the most stable structure and given in kJ/mol of atoms, are w 0.0; x 8.0.


--- w ---
# CsCeBr3

A geometry-optimized CsCeBr3 structure (PBE, Alexandria via LeMat-Bulk).

Cell: 8.2864 8.2864 6.8246 Å, 90.00 90.00 120.00°
With the nearest neighbours (Å) after each atom.
Space group P6_3/mmc (No. 194)
Symmetry-distinct sites (fractional):
Cs (0.3333, 0.6667, 0.2500) (multiplicity 2)  12 Br 4.11-4.14
Ce (0.0000, 0.0000, 0.0000) (multiplicity 2)  6 Br 3.02
Br (0.1734, 0.3469, 0.7500) (multiplicity 6)  2 Ce 3.02

D(E_F) in states/eV per atom: 1.479
Crystal system: hexagonal
Total magnetization in μB/f.u.: 1.4


--- x ---
# CsCeBr3

A geometry-optimized CsCeBr3 structure (PBE, Alexandria via LeMat-Bulk).

Cell: 5.9395 5.9395 5.9395 Å, 90.00 90.00 90.00°
With the nearest neighbours (Å) after each atom.
Space group Pm-3m (No. 221)
Symmetry-distinct sites (fractional):
Cs (0.0000, 0.0000, 0.0000) (multiplicity 1)  12 Br 4.20
Ce (0.5000, 0.5000, 0.5000) (multiplicity 1)  6 Br 2.97
Br (0.0000, 0.5000, 0.5000) (multiplicity 3)  2 Ce 2.97

D(E_F) in states/eV per atom: 1.967
Crystal system: cubic
Total magnetization in μB/f.u.: 2.0


The computed energies, referenced to the most stable structure and given in kJ/mol of atoms, are w 0.0; x 7.2.


--- w ---
# CeErBr6

A geometry-optimized CeErBr6 structure (PBE, Alexandria via LeMat-Bulk).

Cell: 7.0988 13.1801 7.0958 Å, 90.00 106.68 90.00°
With the nearest neighbours (Å) after each atom.
Space group C2/m (No. 12)
Symmetry-distinct sites (fractional):
Ce (0.0000, 0.0000, 0.0000) (multiplicity 2)  6 Br 2.91-2.94
Er (0.0000, 0.5000, 0.5000) (multiplicity 2)  6 Br 2.78-2.79
Br (0.2370, 0.3538, 0.7399) (multiplicity 8)  1 Er 2.79, 1 Ce 2.94
Br (0.2467, 0.5000, 0.2582) (multiplicity 4)  1 Er 2.78, 1 Ce 2.91

D(E_F) in states/eV per atom: 0.987
Crystal system: monoclinic
Total magnetization in μB/f.u.: 1.0


--- x ---
# CeErBr6

A geometry-optimized CeErBr6 structure (PBE, Alexandria via LeMat-Bulk).

Cell: 7.1603 7.1603 19.6371 Å, 90.00 90.00 120.00°
With the nearest neighbours (Å) after each atom.
Space group R-3 (No. 148, hexagonal axes)
Symmetry-distinct sites (fractional):
Ce (0.0000, 0.0000, 0.0000) (multiplicity 3)  6 Br 2.93
Er (0.0000, 0.0000, 0.5000) (multiplicity 3)  6 Br 2.79
Br (0.0057, 0.6830, 0.5812) (multiplicity 18)  1 Er 2.79, 1 Ce 2.93

D(E_F) in states/eV per atom: 1.013
Crystal system: trigonal
Total magnetization in μB/f.u.: 1.0


The computed energies, referenced to the most stable structure and given in kJ/mol of atoms, are w 0.0; x 1.4.